Arrangement a

{"formula": "WAuSe2", "functional": "PBEsol", "state": "optimized geometry", "lattice": [[6.2949, 0.0000, 0.0000], [0.0000, 8.5126, 0.0000], [0.0000, 0.0000, 2.7073]], "species": ["W", "W", "Au", "Au", "Se", "Se", "Se", "Se"], "frac_coords": [[0.0000, 0.0000, 0.0000], [0.5000, 0.5000, 0.0000], [0.0000, 0.5000, 0.0000], [0.5000, 0.0000, 0.0000], [0.2500, 0.2500, 0.0000], [0.2500, 0.7500, 0.0000], [0.7500, 0.2500, 0.0000], [0.7500, 0.7500, 0.0000]], "rho_g_cm3": 12.3, "sg": "Cmmm, No. 65", "dos_at_fermi_per_ev_atom": 0.724}

=====

Arrangement b

{"formula": "WAuSe2", "functional": "PBEsol", "state": "optimized geometry", "lattice": [[3.0109, 0.0000, 0.0000], [0.0000, 3.0109, 0.0000], [0.0000, 0.0000, 8.2040]], "species": ["W", "Au", "Se", "Se"], "frac_coords": [[0.0000, 0.0000, 0.0000], [0.0000, 0.0000, 0.5000], [0.5000, 0.5000, 0.1900], [0.5000, 0.5000, 0.8100]], "rho_g_cm3": 12.0, "sg": "P4/mmm, No. 123", "dos_at_fermi_per_ev_atom": 0.260}

=====

Arrangement c

{"formula": "WAuSe2", "functional": "PBEsol", "state": "optimized geometry", "lattice": [[3.5226, 0.0000, 0.0000], [0.0000, 3.4099, 0.0000], [0.0000, 0.0000, 13.8777]], "species": ["W", "W", "Au", "Au", "Se", "Se", "Se", "Se"], "frac_coords": [[0.0000, 0.0000, 0.0000], [0.0000, 0.5000, 0.5000], [0.5000, 0.0000, 0.5950], [0.5000, 0.5000, 0.0950], [0.0000, 0.0000, 0.1804], [0.0000, 0.5000, 0.6804], [0.5000, 0.0000, 0.8783], [0.5000, 0.5000, 0.3783]], "rho_g_cm3": 10.7, "sg": "Amm2, No. 38", "dos_at_fermi_per_ev_atom": 0.559}

=====

Arrangement d

{"formula": "WAuSe2", "functional": "PBEsol", "state": "optimized geometry", "lattice": [[3.1307, 0.0000, 0.0000], [0.0000, 4.0192, 0.0000], [0.0000, 0.0000, 5.5359]], "species": ["W", "Au", "Se", "Se"], "frac_coords": [[0.0000, 0.0000, 0.0000], [0.5000, 0.5000, 0.3263], [0.0000, 0.0000, 0.5535], [0.5000, 0.5000, 0.8649]], "rho_g_cm3": 12.8, "sg": "Pmm2, No. 25", "dos_at_fermi_per_ev_atom": 0.736}

=====

Most stable pick: arrangement b. Distance to second place: 0.076 eV/atom.